The following is a DFT calculation (PBE) of SrCaAs2Os after structural relaxation. Values from VASP.

Summary:
SG: P4/mmm, No. 123
Calculated formation energy in eV/atom: 0.869
DOS(E_F) in states/eV per atom: 1.36
Calculated density in g/cm3: 5.3
V in Å³/atom: 29.2

Geometry as Quantum ESPRESSO input:
```
&SYSTEM
  ibrav = 0, nat = 5, ntyp = 4
/
ATOMIC_SPECIES
Sr 87.62 Sr.upf
As 74.92 As.upf
Os 190.23 Os.upf
Ca 40.08 Ca.upf
CELL_PARAMETERS angstrom
-1.7838 3.5001 3.5731
-4.0181 1.0880 -3.0718
-2.8296 -3.8343 2.3433
ATOMIC_POSITIONS angstrom
Sr -4.3158 0.3769 1.4222
As -1.4148 -1.9171 1.1716
As -0.8919 1.7500 1.7865
Os -2.0091 0.5440 -1.5359
Ca 0.0000 0.0000 0.0000
```